1.
# Ru2Cl PBE optimized geometry
# **E above lowest polymorph**: 1096 meV per atom
# **Formation energy from raw total energies**: 3.92 eV/f.u.
data_Ru2Cl
_space_group_name_H-M_alt 'P 4/m m m'
_space_group_IT_number 123
_space_group_name_Hall '-P 4 2'
_cell_length_a 4.007
_cell_length_b 4.007
_cell_length_c 2.892
_cell_angle_alpha 90.00
_cell_angle_beta 90.00
_cell_angle_gamma 90.00
loop_
_atom_site_label
_atom_site_type_symbol
_atom_site_fract_x
_atom_site_fract_y
_atom_site_fract_z
Ru1 Ru 0.000 0.500 0.000
Cl1 Cl 0.000 0.000 0.500


2.
# RuCl2 PBE optimized geometry
# **Formation energy from raw total energies**: 0.78 eV/f.u.
data_RuCl2
_space_group_name_H-M_alt 'I 4/m m m'
_space_group_IT_number 139
_space_group_name_Hall '-I 4 2'
_cell_length_a 3.159
_cell_length_b 3.159
_cell_length_c 13.707
_cell_angle_alpha 90.00
_cell_angle_beta 90.00
_cell_angle_gamma 90.00
loop_
_atom_site_label
_atom_site_type_symbol
_atom_site_fract_x
_atom_site_fract_y
_atom_site_fract_z
Ru1 Ru 0.000 0.000 0.000
Cl1 Cl 0.000 0.000 0.385


> The lowest formation energy from raw total energies belongs to which entry?

RuCl2


Please write out number 1 again, unchanged.
# Ru2Cl PBE optimized geometry
# **E above lowest polymorph**: 1096 meV per atom
# **Formation energy from raw total energies**: 3.92 eV/f.u.
data_Ru2Cl
_space_group_name_H-M_alt 'P 4/m m m'
_space_group_IT_number 123
_space_group_name_Hall '-P 4 2'
_cell_length_a 4.007
_cell_length_b 4.007
_cell_length_c 2.892
_cell_angle_alpha 90.00
_cell_angle_beta 90.00
_cell_angle_gamma 90.00
loop_
_atom_site_label
_atom_site_type_symbol
_atom_site_fract_x
_atom_site_fract_y
_atom_site_fract_z
Ru1 Ru 0.000 0.500 0.000
Cl1 Cl 0.000 0.000 0.500


> formation energy from raw total energies of number 1 (Ru2Cl)?

3.92 eV/f.u.